## RbMnSi3 (PBE-GGA)

Data for a relaxed RbMnSi3 crystal.

Cell lengths 4.571, 4.571, 4.571 Å; angles 90.00, 90.00, 90.00 degrees
Element x y z (fractional)
Rb 0.000 0.000 0.000
Mn 0.500 0.500 0.500
Si 0.000 0.500 0.500
Si 0.500 0.000 0.500
Si 0.500 0.500 0.000

- SG = Pm-3m (221)
- energy above the lowest structure with this stoichiometry (meV per atom) = 0

=====

## RbMnSi (PBE-GGA)

Data for a relaxed RbMnSi crystal.

Cell lengths 3.910, 3.912, 12.312 Å; angles 81.05, 88.58, 60.02 degrees
Element x y z (fractional)
Rb 0.099 0.350 0.195
Rb 0.901 0.650 0.805
Mn 0.170 0.158 0.514
Mn 0.830 0.842 0.486
Si 0.478 0.561 0.399
Si 0.522 0.439 0.601

- SG = P-1 (2)
- energy above the lowest structure with this stoichiometry (meV per atom) = 64

=====

## RbMnSi (PBE-GGA)

Data for a relaxed RbMnSi crystal.

Cell lengths 3.518, 4.287, 12.142 Å; angles 89.66, 86.17, 69.96 degrees
Element x y z (fractional)
Rb 0.050 0.236 0.192
Rb 0.950 0.764 0.808
Mn 0.310 0.976 0.559
Mn 0.690 0.024 0.441
Si 0.335 0.602 0.412
Si 0.665 0.398 0.588

- SG = P-1 (2)
- energy above the lowest structure with this stoichiometry (meV per atom) = 228

=====

## RbMnSi2Te (PBE-GGA)

Data for a relaxed RbMnSi2Te crystal.

Cell lengths 5.598, 5.598, 5.410 Å; angles 90.00, 90.00, 90.00 degrees
Element x y z (fractional)
Rb 0.000 0.000 0.000
Mn 0.000 0.000 0.500
Si 0.000 0.500 0.000
Si 0.500 0.000 0.000
Te 0.500 0.500 0.500

- SG = P4/mmm (123)

=====

| no. | total energy (Ry per atom) | ΔE_f (raw) (meV per atom) |
| --- | --- | --- |
| 1 | -0.3649 | 316 |
| 2 | -0.3732 | 109 |
| 3 | -0.3611 | 273 |
| 4 | -0.2006 | 2096 |